Material: SrCaCoF6
Method: DFT, PBE with a Hubbard U
State: optimized geometry

Output
The calculation puts the calculated total energy at -5.527 eV/atom. For the volume, the calculation gives 288.7 Å³ per cell. The value obtained for the density is 3.46 g/cm3.

Cell: 5.6929 5.6929 10.2872 Å, 90.00 90.00 120.00°
Space group P-31c (No. 163)
One atom of each set of equivalent atoms:
1 Sr 0.0000 0.0000 0.0000 (multiplicity 2)
2 Ca 0.3333 0.6667 0.2500 (multiplicity 2)
3 Co 0.3333 0.6667 0.7500 (multiplicity 2)
4 F 0.0262 0.3645 0.6394 (multiplicity 12)